Compound: NiBr2
Source: Alexandria
Functional: GGA-PBEsol
Structure: relaxed

Values from the calculation:
For the volume, the calculation gives 23.190 Å³/atom. The total energy is -3.62 eV per atom. Its formation energy without anion corrections is -0.325 eV/atom.

Lattice parameters (Å, degrees): 3.604 3.604 6.525 73.97 73.97 60.00
Site moments in Bohr magnetons follow the coordinates.
Atoms (fractional coordinates):
Ni (0.000, 0.000, 0.000)  1.34
Br (0.259, 0.259, 0.223)  0.25
Br (0.741, 0.741, 0.777)  0.25

Compound: Li5Al3
Source: Alexandria
Functional: GGA-PBEsol
Structure: relaxed

Values from the calculation:
The calculation puts the formation energy at -0.85 eV/f.u. For the volume, the calculation gives 15.466 Å³/atom. As for the density of states at the Fermi level: 2.339 states/eV/f.u. The total energy is -2.87 eV per atom.

Lattice parameters (Å, degrees): 4.320 5.450 5.450 105.35 90.00 90.00
Atoms (fractional coordinates):
Al (0.000, 0.500, 0.500)
Al (0.500, 0.734, 0.266)
Al (0.500, 0.266, 0.734)
Li (0.000, 0.000, 0.000)
Li (0.000, 0.000, 0.500)
Li (0.000, 0.500, 0.000)
Li (0.500, 0.233, 0.233)
Li (0.500, 0.767, 0.767)

Which value of volume does entry 1 give? 23.190 Å³/atom